Entry 1:
Material: K2CdPt
Method: DFT, PBE
State: relaxed

Cell lengths 8.1917, 4.7168, 8.6450 Å; angles 90.00, 108.00, 90.00 degrees
Closest atoms and distances in Å follow each position.
Space group Cm (No. 8)
Asymmetric unit:
K (0.0000, 0.0000, 0.0000) x2  3 Pt 3.46-3.47, 3 Cd 3.47
K (0.1704, 0.0000, 0.5223) x2  3 Cd 3.47, 3 Pt 3.47-3.48
Cd (0.2520, 0.5000, 0.2614) x2  3 Pt 2.73
Pt (0.4187, 0.0000, 0.2602) x2  3 Cd 2.73

Values from the calculation:
Its spin magnetization is 0.0000 μB/atom. The calculation puts the calculated total energy at -2.436 eV/atom. The value obtained for the formation energy is -0.15 eV/atom. For the energy relative to the lowest polymorph listed for this composition, the calculation gives 0.000 eV/atom. The density of states at the Fermi level is 2.1 states/eV/f.u.

***

Entry 2:
Material: LaMg11Tl
Method: DFT, PBE
State: relaxed

Cell lengths 5.9663, 14.6014, 7.8277 Å; angles 90.00, 111.83, 90.00 degrees
Closest atoms and distances in Å follow each position.
Space group C2/m (No. 12)
Asymmetric unit:
La (0.0000, 0.0000, 0.0000) x2  18 Mg 3.64-3.94, 2 Tl 3.94
Mg (0.0000, 0.0000, 0.5000) x2  2 Tl 2.98, 8 Mg 3.00-3.15
Mg (0.1093, 0.3932, 0.2131) x8  8 Mg 2.98-3.32, 1 Tl 3.00
Mg (0.1691, 0.1771, 0.3519) x8  8 Mg 3.03-3.36, 1 Tl 3.20
Mg (0.2500, 0.2500, 0.0000) x4  10 Mg 2.98-3.15
Tl (0.0000, 0.5000, 0.5000) x2  10 Mg 2.98-3.20

Values from the calculation:
Its spin magnetization is 0.0000 μB/atom. The calculation puts the calculated total energy at -1.988 eV/atom. The value obtained for the formation energy is -0.08 eV/atom. The density of states at the Fermi level is 4.7 states/eV/f.u.

***

Entry 3:
Material: PrNdTe2Br
Method: DFT, PBE
State: relaxed

Cell lengths 4.5156, 4.5156, 15.3151 Å; angles 90.00, 90.00, 90.00 degrees
Closest atoms and distances in Å follow each position.
Space group P4/nmm (No. 129, origin choice 2)
Asymmetric unit:
Pr (0.2500, 0.2500, 0.1415) x2  4 Br 3.13, 4 Te 3.33
Nd (0.2500, 0.2500, 0.5865) x2  6 Te 3.22-3.24
Te (0.2500, 0.2500, 0.3759) x2  5 Nd 3.23-3.24, 1 Pr 3.59
Te (0.2500, 0.2500, 0.7967) x2  1 Nd 3.22, 4 Pr 3.33
Br (0.2500, 0.7500, 0.0000) x2  4 Pr 3.13, 4 Br 3.19

Values from the calculation:
Its spin magnetization is 0.0000 μB/atom. The calculation puts the calculated total energy at -5.004 eV/atom. For the formation energy from raw total energies, the calculation gives -1503 meV/atom. The density of states at the Fermi level is 1.5 states/eV/f.u.

***

Entry 4:
Material: RbNa2BiCl6
Method: DFT, PBE
State: relaxed

Cell lengths 7.3511, 7.3511, 19.8839 Å; angles 90.00, 90.00, 120.00 degrees
Closest atoms and distances in Å follow each position.
Space group R3 (No. 146, hexagonal axes)
Asymmetric unit:
Rb (0.0000, 0.0000, 0.0000) x3  6 Cl 3.23-3.42
Na (0.0000, 0.0000, 0.2032) x3  6 Cl 2.81-2.91
Na (0.0000, 0.0000, 0.7214) x3  6 Cl 2.83-2.99
Bi (0.0000, 0.0000, 0.5235) x3  6 Cl 2.71-2.79
Cl (0.0023, 0.3404, 0.7887) x9  1 Bi 2.79, 2 Na 2.83-2.91
Cl (0.0926, 0.7332, 0.2791) x9  1 Bi 2.71, 2 Na 2.81-2.99

Values from the calculation:
Its spin magnetization is 0.0000 μB/atom. The calculation puts the calculated total energy at -3.387 eV/atom. For the formation energy from raw total energies, the calculation gives -1531 meV/atom. The density of states at the Fermi level is 0.0 states/eV/f.u.

***

Entry 5:
Material: Mg4Zn3Cu2
Method: DFT, PBE
State: relaxed

Cell lengths 13.6842, 4.2880, 5.4192 Å; angles 90.00, 100.73, 90.00 degrees
Closest atoms and distances in Å follow each position.
Space group C2/m (No. 12)
Asymmetric unit:
Mg (0.0868, 0.0000, 0.3787) x4  3 Cu 2.61-2.81, 2 Zn 2.73, 1 Mg 2.92
Mg (0.2187, 0.5000, 0.2088) x4  3 Cu 2.70-3.02, 4 Zn 2.83-3.00
Zn (0.0000, 0.5000, 0.0000) x2  4 Cu 2.62, 2 Zn 2.72
Zn (0.1349, 0.5000, 0.6895) x4  2 Cu 2.53, 1 Zn 2.72, 3 Mg 2.73-2.83
Cu (0.0966, 0.0000, 0.9016) x4  4 Zn 2.53-2.62, 4 Mg 2.61-2.81

Values from the calculation:
Its spin magnetization is 0.0000 μB/atom. The calculation puts the calculated total energy at -2.133 eV/atom. The value obtained for the formation energy is -0.09 eV/atom. The density of states at the Fermi level is 2.0 states/eV/f.u.

***

Entry 6:
Material: Tl3PdCl6
Method: DFT, PBE
State: relaxed

Cell lengths 12.5719, 12.5719, 14.2094 Å; angles 90.00, 90.00, 120.00 degrees
Closest atoms and distances in Å follow each position.
Space group R-3 (No. 148, hexagonal axes)
Asymmetric unit:
Tl (0.0425, 0.2718, 0.2015) x18  6 Cl 3.08-3.29
Pd (0.0000, 0.0000, 0.0000) x3  6 Cl 2.47
Pd (0.0000, 0.0000, 0.5000) x3  6 Cl 2.44
Cl (0.0201, 0.1685, 0.4018) x18  1 Pd 2.44
Cl (0.0237, 0.1716, 0.9005) x18  1 Pd 2.47

Values from the calculation:
Its spin magnetization is 0.1039 μB/atom. The calculation puts the calculated total energy at -3.096 eV/atom. For the formation energy from raw total energies, the calculation gives -759 meV/atom. For the energy relative to the lowest polymorph listed for this composition, the calculation gives 0.000 eV/atom. The density of states at the Fermi level is 4.7 states/eV/f.u.

***

- Which of these has the lowest calculated total energy?
  PrNdTe2Br

***

- Which of these has the highest calculated total energy?
  LaMg11Tl

***

- Among the records above, which one has the highest spin magnetization?
  Tl3PdCl6

***

- Which formula does entry 4 have?
  RbNa2BiCl6